NiRh2O4 | GGA+U | relaxed

Cell lengths 6.064, 6.064, 6.064 Å; angles 118.80, 118.80, 92.08 degrees
Element x y z (fractional)
Ni  0.000  0.000  0.000
Ni  0.750  0.250  0.500
Rh  0.379  0.630  0.749
Rh  0.380  0.132  0.751
Rh  0.380  0.629  0.249
Rh  0.882  0.630  0.251
O  0.136  0.408  0.272
O  0.136  0.864  0.728
O  0.157  0.878  0.279
O  0.158  0.386  0.772
O  0.598  0.878  0.721
O  0.614  0.386  0.228
O  0.628  0.407  0.779
O  0.628  0.848  0.221

Final energy: -84.50 eV/cell
Magnetic moment: 0.286 μB per atom